Below is a geometry-optimized CrPt7 structure, with properties calculated at the PBE-GGA level.

Summary:
Total magnetization   2.697 Bohr magnetons per cell
Raw total energy   -6.6039 eV per atom
N(E_F)   1.840 states/eV per atom
Crystal system   cubic
Formation energy   -0.12 eV per atom

```
8
Lattice="0.0000 3.9505 3.9505 3.9505 0.0000 3.9505 3.9505 3.9505 0.0000" Properties=species:S:1:pos:R:3 pbc="T T T"
Cr 0.0000 0.0000 0.0000
Pt 1.9753 1.9753 0.0000
Pt 1.9753 0.0000 1.9753
Pt 3.9505 1.9753 1.9753
Pt 0.0000 1.9753 1.9753
Pt 1.9753 3.9505 1.9753
Pt 1.9753 1.9753 3.9505
Pt 3.9505 3.9505 3.9505
```

=====

Below is a geometry-optimized Li2ScAu structure, with properties calculated at the PBE-GGA level.

Summary:
Total magnetization   0.000 Bohr magnetons per cell
Raw total energy   -3.5892 eV per atom
N(E_F)   0.565 states/eV per atom
Crystal system   monoclinic
Formation energy   -0.23 eV per atom

```
8
Lattice="5.6010 0.0000 0.0000 0.0000 10.1088 0.0000 -1.7120 0.0000 2.6864" Properties=species:S:1:pos:R:3 pbc="T T T"
Li 1.4003 2.5272 0.0000
Li 1.4003 7.5816 0.0000
Li 4.2008 2.5272 0.0000
Li 4.2008 7.5816 0.0000
Sc -0.8560 0.0000 1.3432
Sc 1.9445 5.0544 1.3432
Au -0.8560 5.0544 1.3432
Au 1.9445 0.0000 1.3432
```

=====

Below is a geometry-optimized K3La structure, with properties calculated at the PBE-GGA level.

Summary:
Total magnetization   0.540 Bohr magnetons per cell
Raw total energy   -1.6795 eV per atom
N(E_F)   1.487 states/eV per atom
Crystal system   orthorhombic
Formation energy   0.38 eV per atom

```
8
Lattice="8.5215 0.0000 0.0000 0.0000 13.9265 0.0000 0.0000 0.0000 3.7591" Properties=species:S:1:pos:R:3 pbc="T T T"
K 0.0000 0.0000 0.0000
K 2.1304 3.4816 1.8795
K 2.1304 10.4449 1.8795
K 4.2607 6.9633 0.0000
K 6.3911 3.4816 1.8795
K 6.3911 10.4449 1.8795
La 0.0000 6.9633 0.0000
La 4.2607 0.0000 0.0000
```

=====

Below is a geometry-optimized Y3Te4 structure, with properties calculated at the PBE-GGA level.

Summary:
Total magnetization   0.000 Bohr magnetons per cell
Formation energy (no corrections)   -1.257 eV per atom
Raw total energy   -5.8222 eV per atom
N(E_F)   0.658 states/eV per atom
Crystal system   cubic

```
14
Lattice="0.0000 6.4070 6.4070 6.4070 0.0000 6.4070 6.4070 6.4070 0.0000" Properties=species:S:1:pos:R:3 pbc="T T T"
Y 0.0000 0.0000 0.0000
Y 3.2035 3.2035 0.0000
Y 3.2035 0.0000 3.2035
Y 4.8053 4.8053 4.8053
Y 0.0000 3.2035 3.2035
Y 8.0088 8.0088 8.0088
Te 9.7086 6.3090 6.3090
Te 3.1055 3.1055 3.1055
Te 6.5050 6.5050 3.1055
Te 6.5050 3.1055 6.5050
Te 6.3090 9.7086 6.3090
Te 6.3090 6.3090 9.7086
Te 9.7086 9.7086 9.7086
Te 3.1055 6.5050 6.5050
```